<i>
Sm3GaTe2 PBE relaxed; volume = 179.9 Å³ per cell; SG = Immm (71)
1.0
4.138 0.000 -1.172
-0.650 5.735 -2.295
-0.049 -0.280 7.718
Sm Te Ga
3 2 1
direct
0.655 0.655 0.310
0.000 0.000 0.000
0.345 0.345 0.690
0.672 0.172 0.343
0.328 0.828 0.657
0.000 0.500 0.000

<ii>
Sm3GaTe2 PBE relaxed; volume = 205.1 Å³ per cell; SG = Cmmm (65)
1.0
-4.524 0.111 -0.789
-0.818 -4.582 4.042
-0.402 7.134 3.305
Sm Te Ga
3 2 1
direct
0.500 0.871 0.741
0.500 0.129 0.259
0.000 0.500 0.000
0.500 0.652 0.303
0.500 0.348 0.697
0.000 0.000 0.000

Stability, highest: <i>

<i>
SmThGa PBE relaxed; volume = 84.0 Å³ per cell; SG = I4mm (107)
1.0
-2.488 -2.628 -0.294
-0.251 -0.166 3.618
-3.249 5.782 -1.781
Sm Th Ga
1 1 1
direct
0.021 0.021 0.042
0.314 0.314 0.628
0.665 0.665 0.329

<ii>
SmThGa PBE relaxed; volume = 83.6 Å³ per cell; SG = P3m1 (156)
1.0
3.858 0.000 0.000
0.000 5.001 0.000
0.000 -2.501 4.331
Th Sm Ga
1 1 1
direct
0.043 0.000 0.000
0.594 0.667 0.333
0.363 0.333 0.667

Stability, highest: <i>

<i>
Sm2ThGa PBE relaxed; volume = 118.6 Å³ per cell; SG = R-3m (166)
1.0
3.649 0.000 0.000
1.824 3.160 0.000
1.824 1.053 10.288
Sm Th Ga
2 1 1
direct
0.740 0.740 0.779
0.260 0.260 0.221
0.500 0.500 0.500
0.000 0.000 0.000

<ii>
Sm2ThGa PBE relaxed; volume = 111.6 Å³ per cell; SG = P4/mmm (123)
1.0
4.797 0.000 0.000
0.000 4.823 0.000
0.000 0.000 4.823
Sm Ga Th
2 1 1
direct
0.000 0.500 0.000
0.000 0.000 0.500
0.500 0.500 0.500
0.500 0.000 0.000

Stability, highest: <ii>

<i>
SmThGa4 PBE relaxed; volume = 126.6 Å³ per cell; SG = F-43m (216)
1.0
5.637 0.000 0.000
2.818 4.881 0.000
2.818 1.627 4.602
Sm Ga Th
1 4 1
direct
0.250 0.250 0.250
0.625 0.124 0.625
0.625 0.625 0.625
0.625 0.625 0.124
0.124 0.625 0.625
0.000 0.000 0.000

<ii>
SmThGa4 PBE relaxed; volume = 133.6 Å³ per cell; SG = I-4m2 (119)
1.0
4.060 0.000 -1.254
-0.387 4.042 -1.254
0.239 0.263 7.976
Ga Sm Th
4 1 1
direct
0.418 0.418 0.835
0.833 0.333 0.667
0.582 0.582 0.165
0.667 0.167 0.333
0.000 0.000 0.000
0.250 0.750 0.500

Stability, highest: <ii>

<i>
SmTh2Ga2 PBE relaxed; volume = 272.2 Å³ per cell; SG = P4/mbm (127)
1.0
4.397 0.000 0.000
0.000 7.869 0.000
0.000 0.000 7.869
Ga Th Sm
4 4 2
direct
0.000 0.381 0.881
0.000 0.881 0.619
0.000 0.119 0.381
0.000 0.619 0.119
0.500 0.174 0.674
0.500 0.326 0.174
0.500 0.826 0.326
0.500 0.674 0.826
0.000 0.500 0.500
0.000 0.000 0.000

<ii>
SmTh2Ga2 PBE relaxed; volume = 280.7 Å³ per cell; SG = Cmcm (63)
1.0
5.487 0.000 0.000
0.000 6.292 0.000
0.000 -3.146 8.132
Th Ga Sm
4 4 2
direct
0.750 0.794 0.588
0.250 0.590 0.181
0.750 0.410 0.819
0.250 0.206 0.412
0.250 0.608 0.732
0.250 0.124 0.732
0.750 0.876 0.268
0.750 0.392 0.268
0.000 0.000 0.000
0.500 0.000 0.000

Stability, highest: <i>

<i>
SmTh2Ga PBE relaxed; volume = 112.8 Å³ per cell; SG = P4/mmm (123)
1.0
4.901 0.000 0.000
0.000 4.798 0.000
0.000 0.000 4.798
Th Sm Ga
2 1 1
direct
0.000 0.000 0.500
0.000 0.500 0.000
0.500 0.500 0.500
0.500 0.000 0.000

<ii>
SmTh2Ga PBE relaxed; volume = 116.1 Å³ per cell; SG = P4/mmm (123)
1.0
3.978 0.000 0.000
0.000 3.978 0.000
0.000 0.000 7.335
Ga Th Sm
1 2 1
direct
0.500 0.500 0.000
0.000 0.000 0.792
0.000 0.000 0.208
0.500 0.500 0.500

<iii>
SmTh2Ga PBE relaxed; volume = 118.9 Å³ per cell; SG = R-3m (166)
1.0
-1.592 -3.013 -0.132
0.054 -2.077 2.704
-10.382 3.340 4.925
Ga Th Sm
1 2 1
direct
0.500 0.500 0.500
0.096 0.096 0.713
0.904 0.904 0.287
0.000 0.000 0.000

Stability, highest: <i>

<i>
Sm2ThGa6 PBE relaxed; volume = 199.6 Å³ per cell; SG = P6/mmm (191)
1.0
-0.919 -0.218 -4.125
-2.698 -6.801 0.960
-4.435 5.858 0.678
Th Ga Sm
1 6 2
direct
0.000 0.000 0.000
0.500 0.000 0.334
0.500 0.666 0.666
0.500 0.000 0.666
0.500 0.666 0.000
0.500 0.334 0.334
0.500 0.334 0.000
0.000 0.667 0.333
0.000 0.333 0.667

<ii>
Sm2ThGa6 PBE relaxed; volume = 211.7 Å³ per cell; SG = Immm (71)
1.0
4.323 0.000 0.000
2.162 7.540 1.517
2.162 2.975 7.092
Ga Sm Th
6 2 1
direct
0.500 0.679 0.321
0.500 0.321 0.679
0.672 0.013 0.644
0.672 0.644 0.013
0.328 0.356 0.987
0.328 0.987 0.356
0.134 0.366 0.366
0.866 0.634 0.634
0.000 0.000 0.000

Stability, highest: <i>

<i>
SmTiGa2 PBE relaxed; volume = 86.5 Å³ per cell; SG = R-3m (166)
1.0
-0.608 2.033 2.795
-3.229 1.235 0.602
-2.973 -5.498 5.557
Ti Ga Sm
1 2 1
direct
0.000 0.000 0.000
0.261 0.261 0.218
0.739 0.739 0.782
0.500 0.500 0.500

<ii>
SmTiGa2 PBE relaxed; volume = 79.8 Å³ per cell; SG = P4/mmm (123)
1.0
-0.818 -0.616 3.324
3.363 -0.501 0.734
0.662 6.421 1.353
Sm Ga Ti
1 2 1
direct
0.500 0.500 0.500
0.000 0.000 0.203
0.000 0.000 0.797
0.500 0.500 0.000

Stability, highest: <ii>

<i>
Sm4Tl2Ga PBE relaxed; volume = 420.7 Å³ per cell; SG = P-1 (2)
1.0
-6.121 -4.371 -3.734
6.813 -3.890 -2.921
-2.678 0.211 7.933
Sm Ga Tl
8 2 4
direct
0.885 0.232 0.347
0.365 0.212 0.847
0.365 0.982 0.097
0.885 0.982 0.617
0.365 0.482 0.596
0.885 0.752 0.868
0.365 0.733 0.368
0.885 0.482 0.117
0.128 0.735 0.607
0.122 0.229 0.107
0.625 0.732 0.106
0.625 0.482 0.357
0.125 0.482 0.857
0.625 0.233 0.608

<ii>
Sm4Tl2Ga PBE relaxed; volume = 212.8 Å³ per cell; SG = R-3m (166)
1.0
5.078 0.000 1.587
2.291 4.532 1.587
-0.089 -0.055 9.207
Ga Tl Sm
1 2 4
direct
0.000 0.000 0.000
0.754 0.754 0.738
0.246 0.246 0.262
0.123 0.123 0.632
0.877 0.877 0.368
0.374 0.374 0.877
0.626 0.626 0.123

Stability, highest: <i>

<i>
Sm3Tl2Ga PBE relaxed; volume = 164.1 Å³ per cell; SG = P4/mmm (123)
1.0
-1.953 2.263 -2.257
0.345 -2.480 -2.786
-9.923 -5.185 3.388
Sm Tl Ga
3 2 1
direct
0.000 0.000 0.652
0.000 0.000 0.348
0.000 0.000 0.000
0.500 0.500 0.173
0.500 0.500 0.827
0.500 0.500 0.500

<ii>
Sm3Tl2Ga PBE relaxed; volume = 328.2 Å³ per cell; SG = Pmmn (59)
1.0
3.742 0.000 0.000
0.000 5.418 0.000
0.000 0.000 16.185
Sm Tl Ga
6 4 2
direct
0.499 0.000 0.500
0.500 0.000 0.844
0.500 0.000 0.156
0.500 0.500 0.344
0.500 0.500 0.656
0.501 0.500 0.000
0.000 0.000 0.672
0.000 0.500 0.172
0.000 0.500 0.828
0.000 0.000 0.328
0.999 0.500 0.500
0.001 0.000 0.000

Stability, highest: <i>

<i>
Sm4Tl3Ga PBE relaxed; volume = 234.8 Å³ per cell; SG = Pmm2 (25)
1.0
4.597 0.000 0.000
0.000 4.392 0.000
0.000 0.000 11.629
Sm Tl Ga
4 3 1
direct
0.000 0.000 0.134
0.500 0.000 0.638
0.000 0.500 0.871
0.500 0.500 0.352
0.000 0.000 0.409
0.000 0.500 0.593
0.500 0.000 0.919
0.500 0.500 0.084

<ii>
Sm4Tl3Ga PBE relaxed; volume = 221.6 Å³ per cell; SG = P4/mmm (123)
1.0
-0.561 3.681 -0.594
-2.427 0.096 2.884
11.703 3.357 9.737
Ga Tl Sm
1 3 4
direct
0.500 0.500 0.000
0.500 0.500 0.758
0.500 0.500 0.500
0.500 0.500 0.242
0.000 0.000 0.630
0.000 0.000 0.113
0.000 0.000 0.370
0.000 0.000 0.887

Stability, highest: <ii>

<i>
Sm4TlGa PBE relaxed; volume = 393.2 Å³ per cell; SG = Cmc2_1 (36)
1.0
-1.112 -4.888 -1.378
5.176 -2.159 3.482
-6.120 1.355 9.936
Sm Ga Tl
8 2 2
direct
0.704 0.562 0.407
0.703 0.081 0.407
0.296 0.062 0.593
0.297 0.581 0.593
0.568 0.323 0.137
0.432 0.823 0.863
0.866 0.321 0.732
0.134 0.821 0.268
0.164 0.322 0.328
0.836 0.822 0.672
0.434 0.324 0.868
0.566 0.824 0.132

<ii>
Sm4TlGa PBE relaxed; volume = 342.7 Å³ per cell; SG = Pmmn (59)
1.0
1.066 -2.919 -4.311
2.692 -4.873 3.965
-9.528 -1.195 5.001
Sm Ga Tl
8 2 2
direct
0.030 0.506 0.281
0.030 0.994 0.281
0.661 0.250 0.412
0.337 0.750 0.087
0.663 0.250 0.913
0.970 0.006 0.719
0.970 0.494 0.719
0.339 0.750 0.588
0.666 0.750 0.416
0.334 0.250 0.584
0.333 0.250 0.083
0.667 0.750 0.917

Stability, highest: <ii>